Record 1
YPaPt2: relaxed, GGA-PBE.

a = 3.4725 Å, b = 3.4725 Å, c = 7.2077 Å
α = 90.00°, β = 90.00°, γ = 90.00°
Last column: magnetic moment on the atom in μB.
Positions (direct):
Y (0.5000, 0.5000, 0.0000)  0.04
Pa (0.5000, 0.5000, 0.5000)  0.44
Pt (0.0000, 0.0000, 0.7428)  -0.01
Pt (0.0000, 0.0000, 0.2572)  -0.01

Summary:
Formation energy from the elements in eV per atom: -0.961
ρ in kg/m3: 13567
Fermi-level density of states in states/eV/cell: 6.05

Record 2
YPa2Pt3: relaxed, GGA-PBE.

a = 7.1474 Å, b = 7.1474 Å, c = 12.4858 Å
α = 104.64°, β = 98.83°, γ = 106.89°
Positions (direct):
Y (0.9181, 0.9179, 0.8346)
Y (0.3319, 0.8321, 0.6654)
Y (0.1666, 0.6664, 0.3346)
Y (0.0834, 0.0836, 0.1654)
Pa (0.0011, 0.5031, 0.0041)
Pa (0.4163, 0.4147, 0.8316)
Pa (0.8337, 0.3353, 0.6684)
Pa (0.2489, 0.2469, 0.4959)
Pa (0.7510, 0.7530, 0.5041)
Pa (0.6669, 0.1653, 0.3316)
Pa (0.5831, 0.5847, 0.1684)
Pa (0.4990, 0.9970, 0.9959)
Pt (0.1675, 0.6574, 0.8372)
Pt (0.6696, 0.1778, 0.8354)
Pt (0.0825, 0.0926, 0.6628)
Pt (0.5804, 0.5722, 0.6646)
Pt (0.9884, 0.4884, 0.5000)
Pt (0.5108, 0.0108, 0.5000)
Pt (0.4298, 0.4197, 0.3372)
Pt (0.9076, 0.9157, 0.3354)
Pt (0.8202, 0.3303, 0.1628)
Pt (0.3424, 0.8343, 0.1646)
Pt (0.2616, 0.2616, 0.0000)
Pt (0.7392, 0.7392, 0.0000)

Summary:
Formation energy from the elements in eV per atom: -0.960
ρ in kg/m3: 13182
Fermi-level density of states in states/eV/cell: 34.05

Record 3
PaZn12Pt6: relaxed, GGA-PBE.

a = 7.1498 Å, b = 7.1498 Å, c = 7.1498 Å
α = 104.65°, β = 104.65°, γ = 104.65°
Last column: magnetic moment on the atom in μB.
Positions (direct):
Pa (0.0000, 0.0000, 0.0000)  1.16
Zn (0.8908, 0.1092, 0.5000)  0.00
Zn (0.8593, 0.6074, 0.6074)  0.00
Zn (0.6074, 0.6074, 0.8593)  0.00
Zn (0.3926, 0.1407, 0.3926)  0.00
Zn (0.3926, 0.3926, 0.1407)  0.00
Zn (0.1407, 0.3926, 0.3926)  0.00
Zn (0.1092, 0.5000, 0.8908)  0.00
Zn (0.5000, 0.8908, 0.1092)  0.00
Zn (0.1092, 0.8908, 0.5000)  0.00
Zn (0.8908, 0.5000, 0.1092)  0.00
Zn (0.5000, 0.1092, 0.8908)  0.00
Zn (0.6074, 0.8593, 0.6074)  0.00
Pt (0.7119, 0.2784, 0.2784)  -0.01
Pt (0.2784, 0.2784, 0.7119)  -0.01
Pt (0.2784, 0.7119, 0.2784)  -0.01
Pt (0.7216, 0.7216, 0.2881)  -0.01
Pt (0.2881, 0.7216, 0.7216)  -0.01
Pt (0.7216, 0.2881, 0.7216)  -0.01

Summary:
Formation energy from the elements in eV per atom: -0.306
ρ in kg/m3: 11278
Fermi-level density of states in states/eV/cell: 10.95

Record 4
Pa4Zn5Pt6: relaxed, GGA-PBE.

a = 3.9184 Å, b = 10.3802 Å, c = 14.9313 Å
α = 90.00°, β = 90.00°, γ = 100.88°
Positions (direct):
Pa (0.9580, 0.9160, 0.2770)
Pa (0.0420, 0.0840, 0.7770)
Pa (0.1521, 0.3043, 0.2995)
Pa (0.8479, 0.6957, 0.7995)
Pa (0.8096, 0.6193, 0.4374)
Pa (0.1904, 0.3807, 0.9374)
Pa (0.0155, 0.0310, 0.5141)
Pa (0.9845, 0.9690, 0.0141)
Zn (0.4460, 0.8921, 0.6747)
Zn (0.5540, 0.1079, 0.1747)
Zn (0.1623, 0.3247, 0.6345)
Zn (0.8377, 0.6753, 0.1345)
Zn (0.6366, 0.2733, 0.4826)
Zn (0.3634, 0.7267, 0.9826)
Zn (0.3060, 0.6121, 0.6112)
Zn (0.6940, 0.3879, 0.1112)
Zn (0.3372, 0.6744, 0.2691)
Zn (0.6628, 0.3256, 0.7691)
Pt (0.7505, 0.5011, 0.2652)
Pt (0.4160, 0.8320, 0.4225)
Pt (0.7818, 0.5635, 0.9809)
Pt (0.2182, 0.4365, 0.4809)
Pt (0.4488, 0.8975, 0.8533)
Pt (0.5512, 0.1025, 0.3533)
Pt (0.4271, 0.8543, 0.1359)
Pt (0.5729, 0.1457, 0.6360)
Pt (0.1108, 0.2215, 0.0976)
Pt (0.8892, 0.7785, 0.5976)
Pt (0.5840, 0.1680, 0.9225)
Pt (0.2495, 0.4989, 0.7652)

Summary:
Formation energy from the elements in eV per atom: -0.694
ρ in kg/m3: 13485
Fermi-level density of states in states/eV/cell: 30.87

Record 5
Pa2Zn15Pt2: relaxed, GGA-PBE.

a = 6.7846 Å, b = 6.7846 Å, c = 6.7846 Å
α = 82.98°, β = 82.98°, γ = 82.98°
Positions (direct):
Pa (0.3376, 0.3376, 0.3376)
Pa (0.6624, 0.6624, 0.6624)
Zn (0.5000, 0.0000, 0.0000)
Zn (0.0000, 0.0000, 0.5000)
Zn (0.0000, 0.5000, 0.0000)
Zn (0.0000, 0.7130, 0.2870)
Zn (0.7130, 0.2870, 0.0000)
Zn (0.2870, 0.0000, 0.7130)
Zn (0.2870, 0.7130, 0.0000)
Zn (0.7130, 0.0000, 0.2870)
Zn (0.0000, 0.2870, 0.7130)
Zn (0.1604, 0.6448, 0.6448)
Zn (0.6448, 0.6448, 0.1604)
Zn (0.6448, 0.1604, 0.6448)
Zn (0.8396, 0.3552, 0.3552)
Zn (0.3552, 0.3552, 0.8396)
Zn (0.3552, 0.8396, 0.3552)
Pt (0.1208, 0.1208, 0.1208)
Pt (0.8792, 0.8792, 0.8792)

Summary:
Formation energy from the elements in eV per atom: -0.247
ρ in kg/m3: 9955
Fermi-level density of states in states/eV/cell: 10.53

Record 6
PaZn3Pt2: relaxed, GGA-PBE.

a = 3.8566 Å, b = 7.2103 Å, c = 7.8435 Å
α = 90.00°, β = 90.00°, γ = 90.00°
Positions (direct):
Pa (0.5000, 0.5419, 0.5902)
Pa (0.5000, 0.0419, 0.4098)
Zn (0.0000, 0.4644, 0.9270)
Zn (0.0000, 0.9644, 0.0730)
Zn (0.5000, 0.6109, 0.1833)
Zn (0.5000, 0.1109, 0.8167)
Zn (0.0000, 0.3845, 0.2994)
Zn (0.0000, 0.8845, 0.7006)
Pt (0.5000, 0.7485, 0.8872)
Pt (0.5000, 0.2485, 0.1128)
Pt (0.0000, 0.2498, 0.6174)
Pt (0.0000, 0.7498, 0.3826)

Summary:
Formation energy from the elements in eV per atom: -0.576
ρ in kg/m3: 12447
Fermi-level density of states in states/eV/cell: 8.79

The following E values (in Ry/atom) correspond, in order, to the records above: -0.5859, -0.6044, -0.2586, -0.4459, -0.2123, -0.3534.